The following is a DFT calculation (PBE-GGA) of a geometry-optimized ScGa2I structure.

a b c (Å): 5.191 5.191 5.191
angles (deg): 60.00 60.00 60.00
Sites, in units of the cell vectors:
I  0.500  0.500  0.500
Sc  0.000  0.000  0.000
Ga  0.250  0.250  0.250
Ga  0.750  0.750  0.750

Values from the calculation:
Uncorrected formation energy = 242 meV/atom
Space group = Fm-3m (225)
E_tot = -0.238 Ry per atom
Total moment = 0.0 Bohr magnetons per cell

The following is a DFT calculation (PBE-GGA) of a geometry-optimized RbZrTl structure.

a b c (Å): 3.516 4.230 14.729
angles (deg): 90.00 88.71 90.00
Sites, in units of the cell vectors:
Tl  0.195  0.000  0.314
Tl  0.217  0.000  0.091
Rb  0.679  0.500  0.488
Rb  0.244  0.000  0.795
Zr  0.706  0.500  0.203
Zr  0.726  0.500  0.003

Values from the calculation:
Energy of formation = 0.7 eV/f.u.
Space group = Pm (6)
E_tot = -0.273 Ry per atom
Total moment = 0.4 Bohr magnetons per cell

The following is a DFT calculation (PBE-GGA) of a geometry-optimized YWS2Cl structure.

a b c (Å): 5.262 5.262 4.993
angles (deg): 90.00 90.00 90.00
Sites, in units of the cell vectors:
Y  0.000  0.000  0.000
S  0.000  0.500  0.000
S  0.500  0.000  0.000
W  0.500  0.500  0.500
Cl  0.000  0.000  0.500

Values from the calculation:
Uncorrected formation energy = 269 meV/atom
Space group = P4/mmm (123)
E_tot = -0.414 Ry per atom
Total moment = 4.0 Bohr magnetons per cell

The following is a DFT calculation (PBE-GGA) of a geometry-optimized Tb4Y4Er structure.

a b c (Å): 5.503 8.813 9.044
angles (deg): 44.76 72.29 71.81
Sites, in units of the cell vectors:
Tb  0.637  0.433  0.293
Tb  0.927  0.758  0.388
Tb  0.363  0.567  0.707
Tb  0.073  0.242  0.612
Y  0.281  0.140  0.298
Y  0.719  0.860  0.702
Y  0.865  0.295  0.974
Y  0.135  0.705  0.026
Er  0.500  0.000  0.000

Values from the calculation:
Energy of formation = 0.9 eV/f.u.
Space group = C2/m (12)
E_tot = -0.392 Ry per atom
Total moment = 0.0 Bohr magnetons per cell

The following is a DFT calculation (PBE-GGA) of a geometry-optimized FeOsW2 structure.

a b c (Å): 4.783 4.783 4.783
angles (deg): 132.77 132.77 69.01
Sites, in units of the cell vectors:
Fe  0.500  0.500  0.000
Os  0.750  0.250  0.500
W  0.000  0.000  0.000
W  0.250  0.750  0.500

Values from the calculation:
Energy of formation = 0.8 eV/f.u.
Space group = I-4m2 (119)
E_tot = -0.824 Ry per atom
Total moment = 0.4 Bohr magnetons per cell

The following is a DFT calculation (PBE-GGA) of a geometry-optimized LaScTeO5 structure.

a b c (Å): 5.963 5.963 8.400
angles (deg): 110.21 110.21 98.06
Sites, in units of the cell vectors:
La  0.302  0.698  0.250
La  0.698  0.302  0.750
Sc  0.000  0.000  0.500
Sc  0.000  0.000  0.000
Te  0.716  0.284  0.250
Te  0.284  0.716  0.750
O  0.048  0.952  0.250
O  0.952  0.048  0.750
O  0.880  0.334  0.067
O  0.120  0.666  0.933
O  0.666  0.120  0.433
O  0.334  0.880  0.567
O  0.759  0.630  0.390
O  0.241  0.370  0.610
O  0.370  0.241  0.110
O  0.630  0.759  0.890

Values from the calculation:
Uncorrected formation energy = -2506 meV/atom
Space group = C2/c (15)
E_tot = -0.544 Ry per atom
Total moment = 0.0 Bohr magnetons per cell